Here is a relaxed structure of Tb5Pm3Dy4 from Alexandria. Energies are from PBE.

Cell and atoms, written as CIF:
```
data_Tb5Pm3Dy4
_chemical_formula_sum 'Tb10 Pm6 Dy8'
_space_group_name_H-M_alt 'C 1 2/m 1'
_space_group_IT_number 12
_space_group_name_Hall '-C 2y'
_cell_length_a 16.052
_cell_length_b 5.924
_cell_length_c 9.281
_cell_angle_alpha 90.00
_cell_angle_beta 116.10
_cell_angle_gamma 90.00
loop_
_atom_site_label
_atom_site_type_symbol
_atom_site_fract_x
_atom_site_fract_y
_atom_site_fract_z
_atom_site_occupancy
Tb1 Tb 0.000 0.000 0.000 1
Tb2 Tb 0.074 0.500 0.698 1
Tb3 Tb 0.173 0.500 0.389 1
Pm1 Pm 0.000 0.500 0.000 1
Pm2 Pm 0.208 0.000 0.229 1
Dy1 Dy 0.082 0.000 0.441 1
Dy2 Dy 0.211 0.000 0.877 1
```

Calculated values
* energy relative to the elements: 0.229 eV per atom
* crystal system: monoclinic
* density of states at the Fermi level: 1.592 states/eV/atom
* distance to the lowest polymorph of the same formula: 215 meV per atom

***

Here is a relaxed structure of AlIr3Pd from Alexandria. Energies are from PBE.

Cell and atoms, written as CIF:
```
data_AlIr3Pd
_chemical_formula_sum 'Al1 Ir3 Pd1'
_space_group_name_H-M_alt 'P m -3 m'
_space_group_IT_number 221
_space_group_name_Hall '-P 4 2 3'
_cell_length_a 4.733
_cell_length_b 4.733
_cell_length_c 4.733
_cell_angle_alpha 90.00
_cell_angle_beta 90.00
_cell_angle_gamma 90.00
loop_
_atom_site_label
_atom_site_type_symbol
_atom_site_fract_x
_atom_site_fract_y
_atom_site_fract_z
_atom_site_occupancy
Al1 Al 0.000 0.000 0.000 1
Ir1 Ir 0.000 0.500 0.500 1
Pd1 Pd 0.500 0.500 0.500 1
```

Calculated values
* energy relative to the elements: 1.950 eV per atom
* crystal system: cubic
* density of states at the Fermi level: 1.312 states/eV/atom
* distance to the lowest polymorph of the same formula: 799 meV per atom

***

Here is a relaxed structure of Y2Er5ThSc from Alexandria. Energies are from PBE.

Cell and atoms, written as CIF:
```
data_Y2Er5ThSc
_chemical_formula_sum 'Y8 Er20 Th4 Sc4'
_space_group_name_H-M_alt 'C m c 21'
_space_group_IT_number 36
_space_group_name_Hall 'C 2c -2'
_cell_length_a 5.612
_cell_length_b 21.641
_cell_length_c 9.384
_cell_angle_alpha 90.00
_cell_angle_beta 90.00
_cell_angle_gamma 90.00
loop_
_atom_site_label
_atom_site_type_symbol
_atom_site_fract_x
_atom_site_fract_y
_atom_site_fract_z
_atom_site_occupancy
Y1 Y 0.000 0.115 0.000 1
Y2 Y 0.000 0.134 0.391 1
Er1 Er 0.000 0.013 0.695 1
Er2 Er 0.000 0.269 0.009 1
Er3 Er 0.000 0.303 0.401 1
Er4 Er 0.000 0.395 0.726 1
Er5 Er 0.000 0.472 0.430 1
Th1 Th 0.000 0.401 0.111 1
Sc1 Sc 0.000 0.193 0.696 1
```

Calculated values
* energy relative to the elements: 0.175 eV per atom
* crystal system: orthorhombic
* density of states at the Fermi level: 1.506 states/eV/atom

***

Here is a relaxed structure of Tb3Th2Se8 from Alexandria. Energies are from PBE.

Cell and atoms, written as CIF:
```
data_Tb3Th2Se8
_chemical_formula_sum 'Tb6 Th4 Se16'
_space_group_name_H-M_alt 'C m m m'
_space_group_IT_number 65
_space_group_name_Hall '-C 2 2'
_cell_length_a 10.049
_cell_length_b 14.114
_cell_length_c 4.934
_cell_angle_alpha 90.00
_cell_angle_beta 90.00
_cell_angle_gamma 90.00
loop_
_atom_site_label
_atom_site_type_symbol
_atom_site_fract_x
_atom_site_fract_y
_atom_site_fract_z
_atom_site_occupancy
Tb1 Tb 0.000 0.000 0.000 1
Tb2 Tb 0.222 0.500 0.500 1
Th1 Th 0.000 0.257 0.000 1
Se1 Se 0.000 0.119 0.500 1
Se2 Se 0.000 0.373 0.500 1
Se3 Se 0.243 0.123 0.000 1
```

Calculated values
* crystal system: orthorhombic
* density of states at the Fermi level: 0.249 states/eV/atom
* uncorrected formation energy: -1.6733 eV/atom

***

Here is a relaxed structure of TbNpSi from Alexandria. Energies are from PBE.

Cell and atoms, written as CIF:
```
data_TbNpSi
_chemical_formula_sum 'Tb4 Np4 Si4'
_space_group_name_H-M_alt 'P m c 21'
_space_group_IT_number 26
_space_group_name_Hall 'P 2c -2'
_cell_length_a 3.050
_cell_length_b 11.639
_cell_length_c 7.770
_cell_angle_alpha 90.00
_cell_angle_beta 90.00
_cell_angle_gamma 90.00
loop_
_atom_site_label
_atom_site_type_symbol
_atom_site_fract_x
_atom_site_fract_y
_atom_site_fract_z
_atom_site_occupancy
Tb1 Tb 0.000 0.173 0.000 1
Tb2 Tb 0.000 0.296 0.609 1
Np1 Np 0.000 0.098 0.376 1
Np2 Np 0.000 0.460 0.964 1
Si1 Si 0.500 0.075 0.692 1
Si2 Si 0.500 0.329 0.267 1
```

Calculated values
* crystal system: orthorhombic
* density of states at the Fermi level: 2.321 states/eV/atom
* uncorrected formation energy: 0.1291 eV/atom

***

Here is a relaxed structure of Cd2RuAu from Alexandria. Energies are from PBE.

Cell and atoms, written as CIF:
```
data_Cd2RuAu
_chemical_formula_sum 'Cd4 Ru2 Au2'
_space_group_name_H-M_alt 'C 1 2/m 1'
_space_group_IT_number 12
_space_group_name_Hall '-C 2y'
_cell_length_a 9.450
_cell_length_b 3.001
_cell_length_c 5.195
_cell_angle_alpha 90.00
_cell_angle_beta 100.81
_cell_angle_gamma 90.00
loop_
_atom_site_label
_atom_site_type_symbol
_atom_site_fract_x
_atom_site_fract_y
_atom_site_fract_z
_atom_site_occupancy
Cd1 Cd 0.247 0.000 0.242 1
Ru1 Ru 0.000 0.500 0.000 1
Au1 Au 0.000 0.000 0.500 1
```

Calculated values
* energy relative to the elements: 0.221 eV per atom
* crystal system: monoclinic
* density of states at the Fermi level: 0.616 states/eV/atom
* distance to the lowest polymorph of the same formula: 112 meV per atom

***

Here is a relaxed structure of Sr6HgPd2I3 from Alexandria. Energies are from PBE.

Cell and atoms, written as CIF:
```
data_Sr6HgPd2I3
_chemical_formula_sum 'Sr12 Hg2 Pd4 I6'
_space_group_name_H-M_alt 'C 1 2/m 1'
_space_group_IT_number 12
_space_group_name_Hall '-C 2y'
_cell_length_a 7.814
_cell_length_b 13.535
_cell_length_c 8.841
_cell_angle_alpha 90.00
_cell_angle_beta 107.12
_cell_angle_gamma 90.00
loop_
_atom_site_label
_atom_site_type_symbol
_atom_site_fract_x
_atom_site_fract_y
_atom_site_fract_z
_atom_site_occupancy
Sr1 Sr 0.218 0.000 0.203 1
Sr2 Sr 0.243 0.325 0.204 1
Hg1 Hg 0.000 0.500 0.000 1
Pd1 Pd 0.000 0.167 0.000 1
I1 I 0.000 0.000 0.500 1
I2 I 0.000 0.334 0.500 1
```

Calculated values
* crystal system: monoclinic
* density of states at the Fermi level: 0.521 states/eV/atom
* uncorrected formation energy: -0.9250 eV/atom

***

Here is a relaxed structure of Pr6AgHg5 from Alexandria. Energies are from PBE.

Cell and atoms, written as CIF:
```
data_Pr6AgHg5
_chemical_formula_sum 'Pr12 Ag2 Hg10'
_space_group_name_H-M_alt 'C 1 2/m 1'
_space_group_IT_number 12
_space_group_name_Hall '-C 2y'
_cell_length_a 7.177
_cell_length_b 11.245
_cell_length_c 9.340
_cell_angle_alpha 90.00
_cell_angle_beta 101.01
_cell_angle_gamma 90.00
loop_
_atom_site_label
_atom_site_type_symbol
_atom_site_fract_x
_atom_site_fract_y
_atom_site_fract_z
_atom_site_occupancy
Pr1 Pr 0.224 0.000 0.212 1
Pr2 Pr 0.234 0.170 0.734 1
Ag1 Ag 0.000 0.500 0.000 1
Hg1 Hg 0.000 0.000 0.500 1
Hg2 Hg 0.000 0.213 0.000 1
Hg3 Hg 0.000 0.367 0.500 1
```

Calculated values
* energy relative to the elements: -0.266 eV per atom
* crystal system: monoclinic
* density of states at the Fermi level: 1.170 states/eV/atom
* distance to the lowest polymorph of the same formula: 168 meV per atom

***

Here is a relaxed structure of Pm2DyHo8 from Alexandria. Energies are from PBE.

Cell and atoms, written as CIF:
```
data_Pm2DyHo8
_chemical_formula_sum 'Pm4 Dy2 Ho16'
_space_group_name_H-M_alt 'C 1 2/m 1'
_space_group_IT_number 12
_space_group_name_Hall '-C 2y'
_cell_length_a 18.090
_cell_length_b 5.015
_cell_length_c 7.938
_cell_angle_alpha 90.00
_cell_angle_beta 105.26
_cell_angle_gamma 90.00
loop_
_atom_site_label
_atom_site_type_symbol
_atom_site_fract_x
_atom_site_fract_y
_atom_site_fract_z
_atom_site_occupancy
Pm1 Pm 0.227 0.000 0.137 1
Dy1 Dy 0.000 0.500 0.500 1
Ho1 Ho 0.045 0.000 0.228 1
Ho2 Ho 0.090 0.500 0.954 1
Ho3 Ho 0.135 0.000 0.679 1
Ho4 Ho 0.181 0.500 0.408 1
```

Calculated values
* energy relative to the elements: 0.020 eV per atom
* crystal system: monoclinic
* density of states at the Fermi level: 1.344 states/eV/atom
* distance to the lowest polymorph of the same formula: 0 meV per atom

***

Here is a relaxed structure of SrZrRu2 from Alexandria. Energies are from PBE.

Cell and atoms, written as CIF:
```
data_SrZrRu2
_chemical_formula_sum 'Sr2 Zr2 Ru4'
_space_group_name_H-M_alt 'I -4 m 2'
_space_group_IT_number 119
_space_group_name_Hall 'I -4 -2'
_cell_length_a 4.006
_cell_length_b 4.006
_cell_length_c 9.904
_cell_angle_alpha 90.00
_cell_angle_beta 90.00
_cell_angle_gamma 90.00
loop_
_atom_site_label
_atom_site_type_symbol
_atom_site_fract_x
_atom_site_fract_y
_atom_site_fract_z
_atom_site_occupancy
Sr1 Sr 0.000 0.000 0.000 1
Zr1 Zr 0.000 0.500 0.750 1
Ru1 Ru 0.000 0.000 0.500 1
Ru2 Ru 0.000 0.500 0.250 1
```

Calculated values
* energy relative to the elements: 0.517 eV per atom
* crystal system: tetragonal
* density of states at the Fermi level: 1.206 states/eV/atom

***

Here is a relaxed structure of AgPdC2O6 from Alexandria. Energies are from PBE.

Cell and atoms, written as CIF:
```
data_AgPdC2O6
_chemical_formula_sum 'Ag3 Pd3 C6 O18'
_space_group_name_H-M_alt 'R -3'
_space_group_IT_number 148
_space_group_name_Hall '-R 3'
_cell_length_a 4.9061
_cell_length_b 4.9061
_cell_length_c 16.7981
_cell_angle_alpha 90.00
_cell_angle_beta 90.00
_cell_angle_gamma 120.00
loop_
_atom_site_label
_atom_site_type_symbol
_atom_site_fract_x
_atom_site_fract_y
_atom_site_fract_z
_atom_site_occupancy
Ag1 Ag 0.0000 0.0000 0.0000 1
Pd1 Pd 0.0000 0.0000 0.5000 1
C1 C 0.0000 0.0000 0.2391 1
O1 O 0.0130 0.2708 0.2405 1
```

Calculated values
* crystal system: trigonal
* density of states at the Fermi level: 0.465 states/eV/atom
* uncorrected formation energy: -0.8422 eV/atom

***

Here is a relaxed structure of LiTlClF2 from Alexandria. Energies are from PBE.

Cell and atoms, written as CIF:
```
data_LiTlClF2
_chemical_formula_sum 'Li1 Tl1 Cl1 F2'
_space_group_name_H-M_alt 'P 4/m m m'
_space_group_IT_number 123
_space_group_name_Hall '-P 4 2'
_cell_length_a 4.035
_cell_length_b 4.035
_cell_length_c 4.626
_cell_angle_alpha 90.00
_cell_angle_beta 90.00
_cell_angle_gamma 90.00
loop_
_atom_site_label
_atom_site_type_symbol
_atom_site_fract_x
_atom_site_fract_y
_atom_site_fract_z
_atom_site_occupancy
Li1 Li 0.000 0.000 0.000 1
Tl1 Tl 0.500 0.500 0.500 1
Cl1 Cl 0.000 0.000 0.500 1
F1 F 0.000 0.500 0.000 1
```

Calculated values
* crystal system: tetragonal
* density of states at the Fermi level: 0.477 states/eV/atom
* uncorrected formation energy: -1.6323 eV/atom

***

E_tot per entry: -53.06 -25.77 -47.92 -78.36 -22.61 -13.50 -36.53 -36.24 -50.50 -26.72 -64.66 -18.03 eV/f.u.